Compound: CdHgMo2
Source: Alexandria via LeMat-Bulk
Functional: meta-GGA SCAN
Structure: single point on PBEsol structure

The space group is Pmm2 (No. 25) and the conventional cell measures 2.748, 4.265 and 5.926 Å, with angles of 90.00, 90.00 and 90.00 degrees. Symmetry generates all atoms from Cd at (0.000, 0.000, 0.000), Hg at (0.500, 0.500, 0.254), Mo at (0.000, 0.000, 0.526) and Mo at (0.500, 0.500, 0.731).

The total magnetization comes out at 0.0 μB/f.u. The formation energy from the elements is 517.9 meV per atom. The calculation puts the theoretical density at 12.07 g/cm3. The calculation puts the volume at 17.4 A^3/atom. Its energy relative to the lowest polymorph listed for this composition is 0.222 eV/atom. As for the density of states at the Fermi level: 0.648 states/eV/atom.